(1)
K3Rb8Tl2: optimized geometry, PBE.

The value obtained for the formation energy is 0.00 eV per atom. Its crystal system is monoclinic.

It has space group P2/m (No. 10), with a = 9.750 Å, b = 6.921 Å, c = 13.556 Å, α = 90.00°, β = 100.45° and γ = 90.00°. Symmetry generates all atoms from K at (0.000, 0.000, 0.000), K at (0.266, 0.500, 0.932), Rb at (0.060, 0.000, 0.659), Rb at (0.194, 0.500, 0.267), Rb at (0.336, 0.500, 0.589), Rb at (0.465, 0.000, 0.183) and Tl at (0.351, 0.000, 0.446).

***

(2)
KRb3Tl2: optimized geometry, PBE.

The value obtained for the formation energy is -0.05 eV per atom. Its crystal system is monoclinic.

It has space group C2/m (No. 12), with a = 21.696 Å, b = 5.393 Å, c = 14.893 Å, α = 90.00°, β = 122.91° and γ = 90.00°. Symmetry generates all atoms from K at (0.167, 0.000, 0.246), Rb at (0.079, 0.500, 0.429), Rb at (0.082, 0.500, 0.943), Rb at (0.160, 0.000, 0.736), Tl at (0.235, 0.000, 0.037) and Tl at (0.235, 0.000, 0.536).

***

(3)
KRb2Tl: optimized geometry, PBE.

The value obtained for the formation energy is 0.19 eV per atom. As for the energy relative to the lowest polymorph listed for this composition: 223 meV per atom. Its crystal system is trigonal.

It has space group R-3m (No. 166, hexagonal axes), with a = 4.4008 Å, b = 4.4008 Å, c = 46.8845 Å, α = 90.00°, β = 90.00° and γ = 120.00°. Symmetry generates all atoms from K at (0.0000, 0.0000, 0.0000), Rb at (0.0000, 0.0000, 0.4217) and Tl at (0.0000, 0.0000, 0.5000).

***

(4)
K7Rb2Tl: optimized geometry, PBE.

The value obtained for the formation energy is 0.00 eV per atom. Its crystal system is monoclinic.

It has space group C2/c (No. 15), with a = 20.759 Å, b = 12.480 Å, c = 13.183 Å, α = 90.00°, β = 126.21° and γ = 90.00°. Symmetry generates all atoms from K at (0.000, 0.181, 0.250), K at (0.086, 0.380, 0.089), K at (0.126, 0.270, 0.790), K at (0.196, 0.391, 0.510), Rb at (0.138, 0.023, 0.083) and Tl at (0.000, 0.496, 0.250).

***

(5)
KRb6Tl2: optimized geometry, PBE.

The value obtained for the formation energy is -0.01 eV per atom. Its crystal system is orthorhombic.

It has space group Immm (No. 71), with a = 12.610 Å, b = 12.980 Å, c = 14.559 Å, α = 90.00°, β = 90.00° and γ = 90.00°. Symmetry generates all atoms from K at (0.000, 0.000, 0.000), K at (0.000, 0.000, 0.500), Rb at (0.000, 0.306, 0.184), Rb at (0.193, 0.288, 0.500), Rb at (0.221, 0.000, 0.259), Tl at (0.000, 0.500, 0.395) and Tl at (0.124, 0.500, 0.000).

***

(6)
K4RbTl4: optimized geometry, PBE.

The value obtained for the formation energy is -0.03 eV per atom. As for the energy relative to the lowest polymorph listed for this composition: 0 meV per atom. Its crystal system is tetragonal.

It has space group P4_2/nmc (No. 137, origin choice 2), with a = 7.635 Å, b = 7.635 Å, c = 13.529 Å, α = 90.00°, β = 90.00° and γ = 90.00°. Symmetry generates all atoms from K at (0.012, 0.250, 0.032), Rb at (0.250, 0.750, 0.250) and Tl at (0.036, 0.250, 0.298).

***

(7)
KRb6Tl4: optimized geometry, PBE.

The value obtained for the formation energy is -0.05 eV per atom. Its crystal system is tetragonal.

It has space group I-42m (No. 121), with a = 9.669 Å, b = 9.669 Å, c = 13.996 Å, α = 90.00°, β = 90.00° and γ = 90.00°. Symmetry generates all atoms from K at (0.000, 0.000, 0.000), Rb at (0.000, 0.500, 0.000), Rb at (0.187, 0.187, 0.722) and Tl at (0.142, 0.142, 0.443).

***

(8)
KRb2Tl: optimized geometry, PBE.

The value obtained for the formation energy is -0.04 eV per atom. As for the energy relative to the lowest polymorph listed for this composition: 0 meV per atom. Its crystal system is monoclinic.

It has space group P2_1/c (No. 14), with a = 12.385 Å, b = 8.340 Å, c = 10.953 Å, α = 90.00°, β = 116.11° and γ = 90.00°. Symmetry generates all atoms from K at (0.001, 0.001, 0.309), Rb at (0.293, 0.226, 0.148), Rb at (0.342, 0.749, 0.421) and Tl at (0.083, 0.645, 0.542).